Compound: Tb6PmEr3Sc2
Source: the Alexandria database
Functional: GGA-PBE
Structure: relaxed

Cell and atoms, written as POSCAR:
```
Tb6PmEr3Sc2
1.0
6.073 0.001 0.009
-3.034 5.261 0.009
-1.024 -1.773 11.415
Tb Sc Er Pm
6 2 3 1
direct
0.254 0.254 0.753
0.083 0.419 0.247
0.746 0.746 0.247
0.419 0.083 0.247
0.917 0.581 0.753
0.581 0.917 0.753
0.667 0.333 0.000
0.333 0.667 0.000
0.833 0.167 0.500
0.500 0.500 0.500
0.167 0.833 0.500
0.000 0.000 0.000
```

Summary:
- crystal system = monoclinic
- formation energy (eV per atom) = 0.04
- E_tot (eV for the cell shown) = -58.460
- V (Å³/cell) = 365
- space-group type = No. 12